[1]
Here is a geometry-optimized Tl2InOs structure from the Alexandria database. Energies are from PBE.

Unit cell a=4.216 b=4.216 c=11.003 alpha=78.95 beta=78.95 gamma=90.00
Last column: magnetic moment on the atom in μB.
Positions (direct):
In  0.250  0.750  0.500  -0.01
Os  0.000  0.000  0.000  0.83
Tl  0.375  0.364  0.750  0.00
Tl  0.875  0.886  0.750  0.00
Tl  0.114  0.625  0.250  0.00
Tl  0.636  0.125  0.250  0.00
Os  0.750  0.250  0.500  0.82
In  0.500  0.500  0.000  -0.01

Its crystal system is tetragonal. As for the polymorph energy (0 for the lowest one): 468 meV/atom.

[2]
Here is a geometry-optimized Tl2InOs structure from the Alexandria database. Energies are from PBE.

Unit cell a=7.717 b=7.717 c=4.577 alpha=72.80 beta=72.80 gamma=22.97
Last column: magnetic moment on the atom in μB.
Positions (direct):
Os  0.250  0.250  0.250  0.26
Tl  0.572  0.572  0.427  -0.01
Tl  0.928  0.928  0.073  -0.01
In  0.750  0.750  0.750  -0.01

Its crystal system is monoclinic. As for the polymorph energy (0 for the lowest one): 0 meV/atom.

[3]
Here is a geometry-optimized Tl2InOs structure from the Alexandria database. Energies are from PBE.

Unit cell a=5.357 b=5.357 c=5.357 alpha=130.72 beta=130.72 gamma=72.27
Positions (direct):
Os  0.750  0.250  0.500
Tl  0.250  0.750  0.500
In  0.500  0.500  0.000
Tl  0.000  0.000  0.000

Its crystal system is tetragonal. As for the polymorph energy (0 for the lowest one): 378 meV/atom.

[4]
Here is a geometry-optimized Tl2InOs structure from the Alexandria database. Energies are from PBE.

Unit cell a=4.453 b=4.431 c=4.431 alpha=90.00 beta=90.00 gamma=90.00
Positions (direct):
Tl  0.000  0.000  0.000
Os  0.500  0.000  0.500
In  0.500  0.500  0.000
Tl  0.000  0.500  0.500

Its crystal system is tetragonal. As for the polymorph energy (0 for the lowest one): 491 meV/atom.

[5]
Here is a geometry-optimized Tl2InOs structure from the Alexandria database. Energies are from PBE.

Unit cell a=5.407 b=5.407 c=5.407 alpha=131.80 beta=131.80 gamma=70.54
Positions (direct):
In  0.250  0.750  0.500
Os  0.750  0.250  0.500
Tl  0.500  0.500  0.000
Tl  0.000  0.000  0.000

Its crystal system is tetragonal. As for the polymorph energy (0 for the lowest one): 395 meV/atom.

[6]
Here is a geometry-optimized Tl2InOs structure from the Alexandria database. Energies are from PBE.

Unit cell a=5.958 b=5.958 c=3.431 alpha=73.53 beta=73.53 gamma=118.73
Positions (direct):
In  0.500  0.000  0.500
Os  0.000  0.500  0.500
Tl  0.500  0.500  0.000
Tl  0.000  0.000  0.000

Its crystal system is monoclinic. As for the polymorph energy (0 for the lowest one): 412 meV/atom.

[7]
Here is a geometry-optimized YTl2InOs structure from the Alexandria database. Energies are from PBE.

Unit cell a=5.239 b=5.144 c=5.239 alpha=90.00 beta=90.00 gamma=90.00
Positions (direct):
Tl  0.000  0.000  0.500
Y  0.500  0.500  0.500
Tl  0.500  0.000  0.000
In  0.000  0.500  0.000
Os  0.000  0.000  0.000

Its crystal system is tetragonal.

[8]
Here is a geometry-optimized ZrTl2InOs structure from the Alexandria database. Energies are from PBE.

Unit cell a=5.229 b=5.137 c=5.229 alpha=90.00 beta=90.00 gamma=90.00
Last column: magnetic moment on the atom in μB.
Positions (direct):
Zr  0.500  0.500  0.500  -1.37
Os  0.000  0.000  0.000  -0.47
Tl  0.000  0.000  0.500  0.01
Tl  0.500  0.000  0.000  -0.02
In  0.000  0.500  0.000  0.01

Its crystal system is tetragonal.

[9]
Here is a geometry-optimized ZrTlIn2Os structure from the Alexandria database. Energies are from PBE.

Unit cell a=5.219 b=5.045 c=5.219 alpha=90.00 beta=90.00 gamma=90.00
Positions (direct):
In  0.500  0.000  0.000
Zr  0.000  0.500  0.000
Tl  0.500  0.500  0.500
In  0.000  0.000  0.500
Os  0.000  0.000  0.000

Its crystal system is tetragonal.

[10]
Here is a geometry-optimized Tm6InOs structure from the Alexandria database. Energies are from PBE.

Unit cell a=6.796 b=6.810 c=7.413 alpha=62.79 beta=62.87 gamma=60.05
Positions (direct):
Tm  0.211  0.965  0.245
Tm  0.965  0.581  0.244
Os  0.000  0.000  0.000
Tm  0.581  0.210  0.245
Tm  0.035  0.419  0.756
Tm  0.789  0.035  0.755
In  0.500  0.500  0.500
Tm  0.419  0.790  0.755

Its crystal system is triclinic.

[11]
Here is a geometry-optimized Tm6InOs2 structure from the Alexandria database. Energies are from PBE.

Unit cell a=8.401 b=8.401 c=8.401 alpha=103.43 beta=112.41 gamma=112.74
Positions (direct):
Tm  0.792  0.243  0.035
Tm  0.208  0.757  0.965
Tm  0.313  0.981  0.668
Tm  0.687  0.354  0.668
Tm  0.792  0.757  0.549
Tm  0.313  0.646  0.332
Tm  0.687  0.019  0.332
Os  0.500  0.624  0.124
Os  0.672  0.000  0.672
Os  0.328  0.000  0.328
Tm  0.532  0.716  0.815
In  0.000  0.500  0.500
Os  0.500  0.376  0.876
Tm  0.208  0.243  0.451
Tm  0.468  0.284  0.185
Tm  0.901  0.716  0.185
In  0.000  0.000  0.000
Tm  0.099  0.284  0.815

Its crystal system is orthorhombic.

[12]
Here is a geometry-optimized Tm12In6Os structure from the Alexandria database. Energies are from PBE.

Unit cell a=7.961 b=7.961 c=7.961 alpha=90.50 beta=90.50 gamma=90.50
Positions (direct):
In  0.259  0.720  0.883
Tm  0.975  0.872  0.651
In  0.280  0.117  0.741
In  0.883  0.259  0.720
Tm  0.872  0.651  0.975
Tm  0.197  0.467  0.552
Tm  0.025  0.128  0.349
Tm  0.533  0.448  0.803
Tm  0.651  0.975  0.872
Os  0.000  0.000  0.000
Tm  0.128  0.349  0.025
In  0.720  0.883  0.259
Tm  0.552  0.197  0.467
In  0.741  0.280  0.117
Tm  0.467  0.552  0.197
Tm  0.448  0.803  0.533
Tm  0.803  0.533  0.448
Tm  0.349  0.025  0.128
In  0.117  0.741  0.280

Its crystal system is trigonal.

[13]
Here is a geometry-optimized TmInOs structure from the Alexandria database. Energies are from PBE.

Unit cell a=4.305 b=5.166 c=6.723 alpha=101.92 beta=108.67 gamma=90.00
Positions (direct):
Os  0.221  0.897  0.441
Os  0.779  0.103  0.559
Tm  0.129  0.331  0.257
In  0.431  0.215  0.863
In  0.569  0.785  0.137
Tm  0.871  0.669  0.743

Its crystal system is monoclinic.

[14]
Here is a geometry-optimized Tm6In2Os structure from the Alexandria database. Energies are from PBE.

Unit cell a=3.898 b=8.425 c=8.423 alpha=120.00 beta=90.00 gamma=90.00
Positions (direct):
Tm  0.500  0.000  0.618
Tm  0.000  0.000  0.243
Tm  0.000  0.757  0.757
Tm  0.500  0.382  0.382
In  0.000  0.333  0.666
Tm  0.000  0.243  0.000
In  0.000  0.667  0.334
Tm  0.500  0.617  0.000
Os  0.500  0.000  0.000

Its crystal system is hexagonal.

[15]
Here is a geometry-optimized Tm11In9Os4 structure from the Alexandria database. Energies are from PBE.

Unit cell a=3.739 b=12.815 c=12.815 alpha=112.79 beta=90.00 gamma=90.00
Positions (direct):
In  0.500  0.783  0.930
In  0.500  0.500  0.500
In  0.500  0.852  0.369
In  0.500  0.217  0.070
Tm  0.000  0.633  0.367
In  0.500  0.369  0.852
Tm  0.000  0.582  0.914
Tm  0.000  0.305  0.305
Os  0.500  0.260  0.453
Os  0.500  0.453  0.260
In  0.500  0.070  0.217
Tm  0.000  0.086  0.418
Tm  0.000  0.163  0.837
In  0.500  0.930  0.783
Tm  0.000  0.418  0.086
Tm  0.000  0.367  0.633
Tm  0.000  0.000  0.000
Os  0.500  0.740  0.547
Tm  0.000  0.695  0.695
Tm  0.000  0.914  0.582
In  0.500  0.631  0.148
Os  0.500  0.547  0.740
Tm  0.000  0.837  0.163
In  0.500  0.148  0.631

Its crystal system is orthorhombic.

[16]
Here is a geometry-optimized Tm6In3Os structure from the Alexandria database. Energies are from PBE.

Unit cell a=5.173 b=9.139 c=11.211 alpha=107.26 beta=90.00 gamma=90.00
Positions (direct):
In  0.750  0.598  0.220
In  0.250  0.513  0.382
Tm  0.250  0.853  0.330
Os  0.250  0.961  0.596
Tm  0.750  0.896  0.146
Tm  0.750  0.147  0.670
Tm  0.250  0.693  0.668
In  0.750  0.222  0.023
Tm  0.250  0.104  0.854
Tm  0.750  0.874  0.838
In  0.750  0.487  0.618
Tm  0.250  0.456  0.083
Tm  0.250  0.214  0.495
In  0.250  0.402  0.780
Tm  0.250  0.126  0.162
Tm  0.750  0.544  0.917
In  0.250  0.778  0.977
Tm  0.750  0.786  0.505
Tm  0.750  0.307  0.332
Os  0.750  0.039  0.404

Its crystal system is monoclinic.

[17]
Here is a geometry-optimized Tm3InOs structure from the Alexandria database. Energies are from PBE.

Unit cell a=5.728 b=5.728 c=8.728 alpha=102.08 beta=102.08 gamma=111.24
Positions (direct):
Tm  0.923  0.802  0.725
In  0.712  0.212  0.500
Os  0.250  0.250  0.000
In  0.288  0.788  0.500
Tm  0.299  0.799  0.098
Os  0.750  0.750  0.000
Tm  0.077  0.198  0.275
Tm  0.302  0.423  0.725
Tm  0.701  0.201  0.902
Tm  0.698  0.577  0.275

Its crystal system is orthorhombic. As for the polymorph energy (0 for the lowest one): 0 meV/atom.

[18]
Here is a geometry-optimized Tm3InOs structure from the Alexandria database. Energies are from PBE.

Unit cell a=7.068 b=7.068 c=7.068 alpha=90.00 beta=90.00 gamma=90.00
Positions (direct):
Os  0.500  0.000  0.000
Os  0.000  0.500  0.000
Tm  0.500  0.500  0.500
Tm  0.230  0.230  0.770
Tm  0.230  0.770  0.230
Tm  0.230  0.230  0.230
Tm  0.770  0.230  0.230
In  0.500  0.000  0.500
In  0.500  0.500  0.000
Tm  0.770  0.230  0.770
Os  0.000  0.000  0.500
Tm  0.230  0.770  0.770
In  0.000  0.500  0.500
Tm  0.770  0.770  0.770
Tm  0.770  0.770  0.230

Its crystal system is cubic. As for the polymorph energy (0 for the lowest one): 121 meV/atom.

[19]
Here is a geometry-optimized Tm5In2Os structure from the Alexandria database. Energies are from PBE.

Unit cell a=4.922 b=6.592 c=12.462 alpha=90.00 beta=90.00 gamma=90.00
Positions (direct):
In  0.500  0.125  0.847
Tm  0.500  0.168  0.592
Tm  0.500  0.832  0.408
In  0.500  0.875  0.153
Os  0.000  0.000  0.500
Os  0.000  0.500  0.000
Tm  0.000  0.613  0.214
Tm  0.000  0.113  0.286
Tm  0.500  0.332  0.092
In  0.500  0.375  0.347
Tm  0.000  0.000  0.000
Tm  0.000  0.887  0.714
Tm  0.500  0.668  0.908
Tm  0.000  0.500  0.500
In  0.500  0.625  0.653
Tm  0.000  0.387  0.786

Its crystal system is orthorhombic.

[20]
Here is a geometry-optimized YTmInOs structure from the Alexandria database. Energies are from PBE.

Unit cell a=5.012 b=5.012 c=5.012 alpha=60.00 beta=60.00 gamma=60.00
Positions (direct):
In  0.000  0.000  0.000
Y  0.750  0.750  0.750
Os  0.500  0.500  0.500
Tm  0.250  0.250  0.250

Its crystal system is cubic.

[21]
Here is a geometry-optimized TmZrInOs structure from the Alexandria database. Energies are from PBE.

Unit cell a=3.302 b=3.302 c=7.816 alpha=90.00 beta=90.00 gamma=90.00
Positions (direct):
In  0.000  0.000  0.084
Zr  0.500  0.500  0.359
Tm  0.500  0.500  0.785
Os  0.000  0.000  0.557

Its crystal system is tetragonal. As for the polymorph energy (0 for the lowest one): 0 meV/atom.

[22]
Here is a geometry-optimized TmZrInOs structure from the Alexandria database. Energies are from PBE.

Unit cell a=4.895 b=4.895 c=4.895 alpha=60.00 beta=60.00 gamma=60.00
Positions (direct):
Os  0.000  0.000  0.000
Tm  0.250  0.250  0.250
Zr  0.750  0.750  0.750
In  0.500  0.500  0.500

Its crystal system is cubic. As for the polymorph energy (0 for the lowest one): 184 meV/atom.

[23]
Here is a geometry-optimized U2InOs structure from the Alexandria database. Energies are from PBE.

Unit cell a=3.711 b=3.711 c=6.404 alpha=90.00 beta=90.00 gamma=90.00
Last column: magnetic moment on the atom in μB.
Positions (direct):
In  0.500  0.500  0.500  -0.01
Os  0.500  0.500  0.000  -0.05
U  0.000  0.000  0.194  0.31
U  0.000  0.000  0.806  0.31

Its crystal system is tetragonal. As for the polymorph energy (0 for the lowest one): 0 meV/atom.

[24]
Here is a geometry-optimized UInOs2 structure from the Alexandria database. Energies are from PBE.

Unit cell a=3.687 b=4.435 c=4.435 alpha=90.00 beta=90.00 gamma=90.00
Last column: magnetic moment on the atom in μB.
Positions (direct):
U  0.500  0.000  0.000  0.96
Os  0.000  0.000  0.500  -0.10
Os  0.000  0.500  0.000  -0.10
In  0.500  0.500  0.500  0.01

Its crystal system is tetragonal.

Number 1: uncorrected energy -3.7627 eV per atom, DOS at the Fermi energy 8.8 states/eV/cell, calculated formation energy 3.65 eV/f.u.. Number 2: uncorrected energy -4.2307 eV per atom, DOS at the Fermi energy 2.1 states/eV/cell, calculated formation energy 1.78 eV/f.u.. Number 3: uncorrected energy -3.8530 eV per atom, DOS at the Fermi energy 3.2 states/eV/cell, calculated formation energy 3.29 eV/f.u.. Number 4: uncorrected energy -3.7401 eV per atom, DOS at the Fermi energy 4.5 states/eV/cell, calculated formation energy 3.74 eV/f.u.. Number 5: uncorrected energy -3.8354 eV per atom, DOS at the Fermi energy 3.1 states/eV/cell, calculated formation energy 3.36 eV/f.u.. Number 6: uncorrected energy -3.8192 eV per atom, DOS at the Fermi energy 3.1 states/eV/cell, calculated formation energy 3.42 eV/f.u.. Number 7: uncorrected energy -4.5846 eV per atom, DOS at the Fermi energy 2.5 states/eV/cell, calculated formation energy 2.24 eV/f.u.. Number 8: uncorrected energy -4.5387 eV per atom, DOS at the Fermi energy 5.4 states/eV/cell, calculated formation energy 4.56 eV/f.u.. Number 9: uncorrected energy -5.2695 eV per atom, DOS at the Fermi energy 2.5 states/eV/cell, calculated formation energy 1.27 eV/f.u.. Number 10: uncorrected energy -5.0793 eV per atom, DOS at the Fermi energy 9.5 states/eV/cell, calculated formation energy 0.16 eV/f.u.. Number 11: uncorrected energy -6.1286 eV per atom, DOS at the Fermi energy 16.2 states/eV/cell, calculated formation energy -3.13 eV/f.u.. Number 12: uncorrected energy -4.4719 eV per atom, DOS at the Fermi energy 18.3 states/eV/cell, calculated formation energy -3.65 eV/f.u.. Number 13: uncorrected energy -6.3184 eV per atom, DOS at the Fermi energy 3.4 states/eV/cell, calculated formation energy -0.52 eV/f.u.. Number 14: uncorrected energy -5.1933 eV per atom, DOS at the Fermi energy 8.2 states/eV/cell, calculated formation energy -3.20 eV/f.u.. Number 15: uncorrected energy -5.3535 eV per atom, DOS at the Fermi energy 12.2 states/eV/cell, calculated formation energy -9.73 eV/f.u.. Number 16: uncorrected energy -4.9841 eV per atom, DOS at the Fermi energy 14.1 states/eV/cell, calculated formation energy -3.57 eV/f.u.. Number 17: uncorrected energy -5.8580 eV per atom, DOS at the Fermi energy 5.5 states/eV/cell, calculated formation energy -1.91 eV/f.u.. Number 18: uncorrected energy -5.7371 eV per atom, DOS at the Fermi energy 8.8 states/eV/cell, calculated formation energy -1.30 eV/f.u.. Number 19: uncorrected energy -5.2515 eV per atom, DOS at the Fermi energy 9.4 states/eV/cell, calculated formation energy -2.95 eV/f.u.. Number 20: uncorrected energy -6.4878 eV per atom, DOS at the Fermi energy 3.0 states/eV/cell, calculated formation energy -1.05 eV/f.u.. Number 21: uncorrected energy -7.1641 eV per atom, DOS at the Fermi energy 1.6 states/eV/cell, calculated formation energy -1.67 eV/f.u.. Number 22: uncorrected energy -6.9805 eV per atom, DOS at the Fermi energy 1.7 states/eV/cell, calculated formation energy -0.93 eV/f.u.. Number 23: uncorrected energy -9.0196 eV per atom, DOS at the Fermi energy 7.3 states/eV/cell, calculated formation energy 0.47 eV/f.u.. Number 24: uncorrected energy -9.0327 eV per atom, DOS at the Fermi energy 5.2 states/eV/cell, calculated formation energy 0.36 eV/f.u..